Entry from Alexandria: a geometry-optimized Sr2Y2Mn structure (GGA-PBE).

Unit cell a=9.7534 b=9.7534 c=9.7534 alpha=153.70 beta=153.70 gamma=37.53
Element x y z (fractional)
Mn (0.0000, 0.0000, 0.0000)
Y (0.4171, 0.4171, 0.0000)
Y (0.5829, 0.5829, 0.0000)
Sr (0.7500, 0.2500, 0.5000)
Sr (0.2500, 0.7500, 0.5000)

Properties
**Energy of formation from the pure elements**: 850 meV per atom
**Spin magnetization**: 0.85 μB per atom
**Symmetry**: No. 139

Entry from Alexandria: a geometry-optimized RbLaRu2 structure (GGA-PBE).

Unit cell a=5.0408 b=5.0408 c=5.0408 alpha=60.00 beta=60.00 gamma=60.00
Element x y z (fractional)
Rb (0.0000, 0.0000, 0.0000)
La (0.5000, 0.5000, 0.5000)
Ru (0.2500, 0.2500, 0.2500)
Ru (0.7500, 0.7500, 0.7500)

Properties
**Energy of formation from the pure elements**: 1119 meV per atom
**Spin magnetization**: 0.00 μB per atom
**Symmetry**: No. 225

Entry from Alexandria: a geometry-optimized VNi2Ir2 structure (GGA-PBE).

Unit cell a=3.7250 b=4.5254 c=4.5761 alpha=79.42 beta=65.98 gamma=65.70
Element x y z (fractional)
Ni (0.8011, 0.8044, 0.5933)
Ni (0.1989, 0.1956, 0.4067)
V (0.0000, 0.0000, 0.0000)
Ir (0.5956, 0.6048, 0.2039)
Ir (0.4044, 0.3952, 0.7961)

Properties
**Energy of formation from the pure elements**: -247 meV per atom
**Spin magnetization**: 0.00 μB per atom
**Symmetry**: No. 12

Look up the spin magnetization of the first one.
0.85 μB per atom